1.
Na4Ho3VO8 | PBE+U | relaxed

a = 6.653 Å, b = 6.747 Å, c = 6.652 Å
α = 119.52°, β = 120.00°, γ = 90.00°
Last column: magnetic moment on the atom in μB.
Sites, in units of the cell vectors:
V  0.000  0.500  0.000  1.90
O  0.752  0.708  0.980  0.00
O  0.772  0.292  0.020  0.00
O  0.227  0.707  0.455  0.00
O  0.773  0.293  0.545  0.00
O  0.228  0.708  0.980  0.00
O  0.737  0.712  0.475  0.00
O  0.263  0.288  0.525  0.00
O  0.248  0.292  0.020  0.00
Na  0.500  0.000  0.500  0.00
Na  0.500  0.000  0.000  0.00
Na  0.000  0.000  0.000  0.00
Na  0.000  0.000  0.500  0.00
Ho  0.500  0.500  0.500  0.00
Ho  0.000  0.500  0.500  0.00
Ho  0.500  0.500  0.000  0.00

VASP energy ... -6.705 eV/atom
V ... 212.67 Å³ per cell
Space group ... R-3m (166)
Crystal system ... trigonal

---

2.
Na3Ho3VO8 | PBE+U | relaxed

a = 6.629 Å, b = 6.637 Å, c = 6.732 Å
α = 119.42°, β = 90.00°, γ = 119.96°
Last column: magnetic moment on the atom in μB.
Sites, in units of the cell vectors:
Na  0.000  0.000  0.000  0.00
Na  0.500  0.500  0.000  0.00
Na  0.000  0.500  0.000  0.00
O  0.766  0.979  0.692  -0.01
O  0.785  0.570  0.306  0.00
O  0.215  0.430  0.694  0.00
O  0.737  0.473  0.711  0.00
O  0.787  0.021  0.308  -0.01
O  0.263  0.527  0.289  0.00
O  0.213  0.979  0.692  -0.01
O  0.234  0.021  0.308  -0.01
Ho  0.000  0.500  0.500  0.00
Ho  0.500  0.000  0.500  0.00
Ho  0.500  0.500  0.500  0.00
V  0.000  0.000  0.500  1.02

VASP energy ... -6.977 eV/atom
V ... 211.35 Å³ per cell
Space group ... C2/m (12)
Crystal system ... monoclinic

---

3.
NaHoV2O8 | PBE+U | relaxed

a = 5.848 Å, b = 5.848 Å, c = 6.825 Å
α = 90.00°, β = 90.00°, γ = 120.00°
Last column: magnetic moment on the atom in μB.
Sites, in units of the cell vectors:
O  0.661  0.831  0.789  0.20
O  0.339  0.169  0.211  0.20
O  0.831  0.661  0.211  0.20
O  0.169  0.339  0.789  0.20
O  0.831  0.169  0.211  0.20
O  0.169  0.831  0.789  0.20
O  0.333  0.667  0.458  0.37
O  0.667  0.333  0.542  0.37
Ho  0.000  0.000  0.000  -0.02
V  0.333  0.667  0.708  -0.18
V  0.667  0.333  0.292  -0.18
Na  0.000  0.000  0.500  0.00

VASP energy ... -6.955 eV/atom
V ... 202.14 Å³ per cell
Space group ... P-3m1 (164)
Crystal system ... trigonal

---

4.
Na2Ho2VO6 | PBE+U | relaxed

a = 5.681 Å, b = 5.681 Å, c = 5.829 Å
α = 97.31°, β = 97.31°, γ = 119.91°
Last column: magnetic moment on the atom in μB.
Sites, in units of the cell vectors:
Ho  0.666  0.334  0.500  0.00
Ho  0.334  0.666  0.500  0.00
V  0.000  0.000  0.500  1.02
O  0.231  0.231  0.313  -0.03
O  0.045  0.359  0.693  0.00
O  0.955  0.641  0.307  0.00
O  0.359  0.045  0.693  0.00
O  0.641  0.955  0.307  0.00
O  0.769  0.769  0.687  -0.03
Na  0.153  0.847  0.000  0.00
Na  0.847  0.153  0.000  0.00

VASP energy ... -7.027 eV/atom
V ... 157.71 Å³ per cell
Space group ... C2/m (12)
Crystal system ... monoclinic

---

Listing D(E_F) for the structures above in their given order: 0.00 0.00 11.22 0.00 states/eV per cell.